# 1
Sm8Se3S4: relaxed, PBE.

```
15
Lattice="5.757 -5.761 0.000 5.757 5.761 0.000 -5.732 0.000 5.757" Properties=species:S:1:pos:R:3 pbc="T T T"
Sm 5.757 2.994 0.000
Sm 0.096 0.000 2.799
Sm 2.791 0.000 0.099
Sm 2.891 2.785 2.879
Sm 2.891 -2.785 2.879
Sm 2.991 0.000 5.659
Sm 5.686 0.000 2.958
Sm 5.757 -2.994 0.000
Se 2.879 2.880 0.000
Se 2.879 -2.880 0.000
Se 5.757 0.000 0.000
S 0.000 0.000 0.000
S 0.013 2.880 2.879
S 0.013 -2.880 2.879
S 2.891 0.000 2.879
```

E_form (uncorrected) = -1.793 eV per atom
E_tot = -91.60 eV/cell
Theoretical density = 6.82 Mg/m³
M_tot = 0.0 μB/cell

=====

# 2
Sm4SeS5: relaxed, PBE.

```
10
Lattice="9.278 -2.055 0.000 9.278 2.055 0.000 -0.300 0.000 7.052" Properties=species:S:1:pos:R:3 pbc="T T T"
Sm 0.945 0.000 1.710
Sm 5.300 0.000 1.774
Sm 12.956 0.000 5.278
Sm 17.312 0.000 5.342
Se 9.128 0.000 3.526
S 2.847 0.000 7.033
S 3.063 0.000 3.451
S 9.278 0.000 0.000
S 15.193 0.000 3.601
S 15.410 0.000 0.019
```

Relative energy among the computed polymorphs = 3 meV per atom
E_form (uncorrected) = -1.947 eV per atom
E_tot = -62.47 eV/cell
Theoretical density = 5.19 Mg/m³
M_tot = 0.0 μB/cell

=====

# 3
Sm4SeS2: relaxed, PBE.

```
7
Lattice="2.000 1.155 13.207 -2.000 1.155 13.207 0.000 -2.309 13.207" Properties=species:S:1:pos:R:3 pbc="T T T"
Sm 0.000 0.000 5.058
Sm 0.000 0.000 11.323
Sm 0.000 0.000 28.297
Sm 0.000 0.000 34.562
Se 0.000 0.000 0.000
S 0.000 0.000 16.662
S 0.000 0.000 22.958
```

E_form (uncorrected) = -1.651 eV per atom
E_tot = -42.17 eV/cell
Theoretical density = 6.76 Mg/m³
M_tot = 0.0 μB/cell

=====

# 4
Sm8Se6S: relaxed, PBE.

```
15
Lattice="10.508 0.000 0.000 -5.254 9.100 0.000 0.000 0.000 4.240" Properties=species:S:1:pos:R:3 pbc="T T T"
Sm -1.311 2.865 1.001
Sm -2.118 8.803 1.001
Sm 1.826 2.568 3.239
Sm 0.000 6.067 3.205
Sm 5.254 3.033 1.034
Sm 3.428 6.533 1.001
Sm 7.371 0.297 3.239
Sm 6.565 6.235 3.239
Se -2.058 5.893 1.091
Se 1.179 4.371 1.091
Se 4.375 1.164 3.149
Se 0.879 7.936 1.091
Se 4.075 4.729 3.149
Se 7.312 3.207 3.149
S 0.000 0.000 0.000
```

E_form (uncorrected) = -1.376 eV per atom
E_tot = -83.43 eV/cell
Theoretical density = 7.00 Mg/m³
M_tot = 0.0 μB/cell

=====

# 5
Sm3Se2S2: relaxed, PBE.

```
14
Lattice="13.764 0.000 0.000 0.000 4.146 0.000 -1.734 0.000 6.938" Properties=species:S:1:pos:R:3 pbc="T T T"
Sm 0.000 0.000 0.000
Sm 2.071 0.000 5.114
Sm 3.077 2.073 1.824
Sm 6.882 2.073 0.000
Sm 8.953 2.073 5.114
Sm 9.959 0.000 1.824
Se 0.142 2.073 6.004
Se 5.007 0.000 0.935
Se 7.024 0.000 6.004
Se 11.889 2.073 0.935
S 1.308 0.000 2.458
S 3.841 2.073 4.480
S 8.190 2.073 2.458
S 10.723 0.000 4.480
```

Relative energy among the computed polymorphs = 4 meV per atom
E_form (uncorrected) = -1.969 eV per atom
E_tot = -86.33 eV/cell
Theoretical density = 5.65 Mg/m³
M_tot = 0.0 μB/cell

=====

# 6
SmSeS: relaxed, PBE.

```
12
Lattice="16.571 0.000 0.000 0.000 4.038 0.000 0.000 0.000 4.038" Properties=species:S:1:pos:R:3 pbc="T T T"
Sm 2.378 1.009 1.006
Sm 5.908 3.028 3.024
Sm 10.663 1.009 1.013
Sm 14.193 3.028 3.032
Se 16.571 1.009 3.028
Se 0.000 3.028 1.010
Se 8.286 1.009 3.028
Se 8.286 3.028 1.009
S 3.044 3.028 3.024
S 5.242 1.009 1.005
S 11.329 3.028 3.032
S 13.528 1.009 1.014
```

Relative energy among the computed polymorphs = 0 meV per atom
E_form (uncorrected) = -1.684 eV per atom
E_tot = -69.53 eV/cell
Theoretical density = 6.43 Mg/m³
M_tot = 0.0 μB/cell

=====

Question: theoretical density of number 1 (Sm8Se3S4)?
Answer: 6.82 Mg/m³

=====

Question: Number 5 is which compound?
Answer: Sm3Se2S2

=====

Question: Which formula does entry 5 have?
Answer: Sm3Se2S2

=====

Question: Among the records above, which one has the lowest theoretical density?
Answer: Sm4SeS5